# 1
Compound: V3Ru
Source: Alexandria
Functional: GGA-PBEsol
Structure: relaxed

Values from the calculation:
The value obtained for the raw total energy is -10.0517 eV/atom. The formation enthalpy at 0 K is -283 meV/atom. As for the symmetry: Fm-3m. The density of states at the Fermi level comes out at 2.261 states/eV/cell.

Unit cell a=4.175 b=4.175 c=4.175 alpha=60.00 beta=60.00 gamma=60.00
Atoms (fractional coordinates):
V 0.500 0.500 0.500
V 0.750 0.750 0.750
V 0.250 0.250 0.250
Ru 0.000 0.000 0.000

=====

# 2
Compound: CdIn2W
Source: Alexandria
Functional: GGA-PBEsol
Structure: relaxed

Values from the calculation:
The value obtained for the raw total energy is -4.7037 eV/atom. The formation enthalpy at 0 K is 539 meV/atom. As for the symmetry: Pmm2. The density of states at the Fermi level comes out at 2.867 states/eV/cell.

Unit cell a=3.028 b=4.397 c=5.861 alpha=90.00 beta=90.00 gamma=90.00
Atoms (fractional coordinates):
W 0.000 0.000 0.488
In 0.500 0.500 0.278
In 0.000 0.000 0.986
Cd 0.500 0.500 0.748

=====

# 3
Compound: CaInAu4
Source: Alexandria
Functional: GGA-PBEsol
Structure: relaxed

Values from the calculation:
The value obtained for the raw total energy is -3.8971 eV/atom. The formation enthalpy at 0 K is -428 meV/atom. As for the symmetry: F-43m. The density of states at the Fermi level comes out at 3.936 states/eV/cell.

Unit cell a=5.518 b=5.518 c=5.518 alpha=60.00 beta=60.00 gamma=60.00
Atoms (fractional coordinates):
Au 0.375 0.375 0.375
Au 0.375 0.875 0.375
Au 0.375 0.375 0.875
Au 0.875 0.375 0.375
Ca 0.750 0.750 0.750
In 0.000 0.000 0.000

=====

# 4
Compound: MnBIO2
Source: Alexandria
Functional: GGA-PBEsol
Structure: relaxed

Values from the calculation:
The value obtained for the raw total energy is -5.7100 eV/atom. The uncorrected formation energy is 0.099 eV per atom. As for the symmetry: P4/mmm. The density of states at the Fermi level comes out at 3.292 states/eV/cell.

Unit cell a=3.511 b=3.511 c=5.750 alpha=90.00 beta=90.00 gamma=90.00
Atoms (fractional coordinates):
O 0.000 0.500 0.000
O 0.500 0.000 0.000
Mn 0.000 0.000 0.000
I 0.000 0.000 0.500
B 0.500 0.500 0.500

=====

# 5
Compound: La2Au
Source: Alexandria
Functional: GGA-PBEsol
Structure: relaxed

Values from the calculation:
The value obtained for the raw total energy is -5.3518 eV/atom. The formation enthalpy at 0 K is -480 meV/atom. As for the symmetry: Fd-3m. The density of states at the Fermi level comes out at 27.035 states/eV/cell.

Unit cell a=9.959 b=9.959 c=9.959 alpha=60.00 beta=60.00 gamma=60.00
Atoms (fractional coordinates):
La 0.191 0.191 0.809
La 0.809 0.809 0.191
La 0.059 0.441 0.059
La 0.441 0.441 0.059
La 0.125 0.625 0.625
La 0.809 0.191 0.191
La 0.191 0.809 0.191
La 0.625 0.625 0.125
La 0.625 0.625 0.625
La 0.441 0.059 0.441
La 0.809 0.191 0.809
La 0.191 0.809 0.809
La 0.059 0.441 0.441
La 0.441 0.059 0.059
La 0.059 0.059 0.441
La 0.625 0.125 0.625
Au 0.848 0.848 0.848
Au 0.402 0.402 0.795
Au 0.795 0.402 0.402
Au 0.848 0.455 0.848
Au 0.455 0.848 0.848
Au 0.402 0.402 0.402
Au 0.402 0.795 0.402
Au 0.848 0.848 0.455

=====

# 6
Compound: YTa2Se
Source: Alexandria
Functional: GGA-PBEsol
Structure: relaxed

Values from the calculation:
The value obtained for the raw total energy is -9.0188 eV/atom. The uncorrected formation energy is -0.075 eV per atom. As for the symmetry: Immm. The density of states at the Fermi level comes out at 3.475 states/eV/cell.

Unit cell a=3.346 b=4.283 c=6.249 alpha=110.04 beta=105.53 gamma=90.00
Atoms (fractional coordinates):
Y 0.500 0.000 0.000
Ta 0.279 0.279 0.559
Ta 0.721 0.721 0.441
Se 0.000 0.500 0.000

=====

# 7
Compound: Mn3HN
Source: Alexandria
Functional: GGA-PBEsol
Structure: relaxed

Values from the calculation:
The value obtained for the raw total energy is -7.8764 eV/atom. As for the symmetry: Pm-3m. The density of states at the Fermi level comes out at 4.210 states/eV/cell.

Unit cell a=3.671 b=3.671 c=3.671 alpha=90.00 beta=90.00 gamma=90.00
Atoms (fractional coordinates):
Mn 0.000 0.500 0.000
Mn 0.000 0.000 0.500
Mn 0.500 0.000 0.000
H 0.500 0.500 0.500
N 0.000 0.000 0.000

=====

# 8
Compound: ZnCdPb2
Source: Alexandria
Functional: GGA-PBEsol
Structure: relaxed

Values from the calculation:
The value obtained for the raw total energy is -2.5095 eV/atom. As for the energy relative to the lowest polymorph listed for this composition: 91.6 meV/atom. The formation enthalpy at 0 K is 185 meV/atom. As for the symmetry: F-43m. The density of states at the Fermi level comes out at 1.512 states/eV/cell.

Unit cell a=5.199 b=5.199 c=5.199 alpha=60.00 beta=60.00 gamma=60.00
Atoms (fractional coordinates):
Pb 0.750 0.750 0.750
Pb 0.000 0.000 0.000
Zn 0.250 0.250 0.250
Cd 0.500 0.500 0.500